The following is a DFT calculation (PBE) of a relaxed GdCl2 crystal.

```
data_GdCl2
_chemical_formula_sum 'Gd2 Cl4'
_cell_length_a 6.9336
_cell_length_b 6.9336
_cell_length_c 3.5080
_cell_angle_alpha 90.00
_cell_angle_beta 90.00
_cell_angle_gamma 90.00
_symmetry_space_group_name_H-M 'P 1'
_symmetry_Int_Tables_number 1
loop_
_symmetry_equiv_pos_as_xyz
'x,y,z'
loop_
_atom_site_label
_atom_site_fract_x
_atom_site_fract_y
_atom_site_fract_z
Gd1 0.0000 0.0000 0.0000
Gd2 0.5000 0.5000 0.5000
Cl1 0.2196 0.2196 0.5000
Cl2 0.2804 0.7196 0.0000
Cl3 0.7196 0.2804 0.0000
Cl4 0.7804 0.7804 0.5000
```

Calculated values
electronic total energy = -4.688 eV per atom